Entry 1:
A relaxed structure of Pr2CdRu. Source: Alexandria via LeMat-Bulk, functional GGA-PBE.

Calculated values
As for the volume: 28.4 Å³ per atom. The energy of formation comes out at -0.13 eV/atom. As for the space-group type: C2/m, No. 12.

Cell lengths 5.4760, 6.4001, 13.1063 Å; angles 97.92, 90.00, 90.00 degrees
Closest atoms and distances in Å follow each position.
Positions (direct):
Pr: 0.2500 0.9765 0.6822  1 Ru 2.65
Pr: 0.2499 0.8865 0.0976  3 Ru 2.83-2.97
Pr: 0.7501 0.3865 0.5976  3 Ru 2.83-2.97
Ru: 0.7499 0.9951 0.1139  3 Pr 2.65-2.83, 1 Cd 2.85
Ru: 0.2501 0.4951 0.6139  3 Pr 2.65-2.83, 1 Cd 2.85
Cd: 0.7500 0.6401 0.9569  1 Ru 2.85
Pr: 0.7500 0.0235 0.3178  1 Ru 2.65
Ru: 0.7499 0.5049 0.3861  3 Pr 2.65-2.83, 1 Cd 2.85
Cd: 0.7500 0.8599 0.5431  1 Ru 2.85
Pr: 0.7501 0.1135 0.9024  3 Ru 2.83-2.97
Cd: 0.2500 0.1401 0.4569  1 Ru 2.85
Cd: 0.2500 0.3599 0.0431  1 Ru 2.85
Ru: 0.2501 0.0049 0.8861  3 Pr 2.65-2.83, 1 Cd 2.85
Pr: 0.2499 0.6135 0.4024  3 Ru 2.83-2.97
Pr: 0.7500 0.4765 0.1822  1 Ru 2.65
Pr: 0.2500 0.5235 0.8178  1 Ru 2.65

=====

Entry 2:
A relaxed structure of Pr2CdRu. Source: Alexandria via LeMat-Bulk, functional GGA-PBE.

Calculated values
As for the volume: 25.4 Å³ per atom. The energy of formation comes out at -0.13 eV/atom. As for the space-group type: Fm-3m, No. 225.

Cell lengths 5.2370, 5.2370, 5.2370 Å; angles 60.00, 60.00, 60.00 degrees
Closest atoms and distances in Å follow each position.
Positions (direct):
Ru: 0.0000 0.0000 0.0000  8 Pr 3.21
Pr: 0.2500 0.2500 0.2500  4 Cd 3.21, 4 Ru 3.21
Pr: 0.7500 0.7500 0.7500  4 Ru 3.21, 4 Cd 3.21
Cd: 0.5000 0.5000 0.5000  8 Pr 3.21

=====

Entry 3:
A relaxed structure of Pr6CdRu. Source: Alexandria via LeMat-Bulk, functional GGA-PBE.

Calculated values
As for the volume: 36.3 Å³ per atom. The energy of formation comes out at 0.05 eV/atom. As for the space-group type: P-1, No. 2.

Cell lengths 7.0379, 7.0835, 7.8182 Å; angles 63.48, 63.64, 60.24 degrees
Closest atoms and distances in Å follow each position.
Positions (direct):
Pr: 0.2170 0.9603 0.2447  1 Ru 2.79
Pr: 0.0410 0.4172 0.7564  1 Ru 2.79
Pr: 0.9590 0.5828 0.2436  1 Ru 2.79
Ru: 0.0000 0.0000 0.0000  6 Pr 2.79
Cd: 0.5000 0.5000 0.5000  6 Pr 3.14
Pr: 0.7830 0.0397 0.7553  1 Ru 2.79
Pr: 0.5828 0.2142 0.2447  1 Ru 2.79
Pr: 0.4172 0.7858 0.7553  1 Ru 2.79

=====

Entry 4:
A relaxed structure of Pr6CdRu2. Source: Alexandria via LeMat-Bulk, functional GGA-PBE.

Calculated values
As for the volume: 29.2 Å³ per atom. The energy of formation comes out at -0.21 eV/atom. As for the space-group type: Immm, No. 71.

Cell lengths 8.8184, 8.8184, 8.8184 Å; angles 104.77, 110.74, 113.02 degrees
Closest atoms and distances in Å follow each position.
Positions (direct):
Cd: 0.0000 0.0000 0.0000  2 Ru 3.25, 8 Pr 3.25-3.32
Pr: 0.6865 0.0129 0.3264  3 Ru 2.84-3.15
Ru: 0.6759 0.0000 0.6759  8 Pr 2.82-3.15
Pr: 0.3135 0.6399 0.3264  3 Ru 2.84-3.15
Pr: 0.7979 0.7638 0.5617  1 Ru 2.82
Pr: 0.5324 0.7149 0.8175  3 Ru 3.08-3.12, 1 Cd 3.32
Pr: 0.6865 0.3601 0.6736  3 Ru 2.84-3.15
Pr: 0.8974 0.7149 0.1825  3 Ru 3.08-3.12, 1 Cd 3.32
Pr: 0.4676 0.2851 0.1825  3 Ru 3.08-3.12, 1 Cd 3.32
Pr: 0.3135 0.9871 0.6736  3 Ru 2.84-3.15
Ru: 0.5000 0.3763 0.8763  1 Ru 2.66, 2 Pr 2.84
Ru: 0.3241 0.0000 0.3241  8 Pr 2.82-3.15
Pr: 0.7979 0.2362 0.0341  1 Ru 2.82
Cd: 0.0000 0.5000 0.5000  12 Pr 3.49-3.81
Pr: 0.2021 0.2362 0.4383  1 Ru 2.82
Pr: 0.2021 0.7638 0.9659  1 Ru 2.82
Pr: 0.1026 0.2851 0.8175  3 Ru 3.08-3.12, 1 Cd 3.32
Ru: 0.5000 0.6237 0.1237  1 Ru 2.66, 2 Pr 2.84

=====

Entry 5:
A relaxed structure of PrSmCdRu. Source: Alexandria via LeMat-Bulk, functional GGA-PBE.

Calculated values
As for the volume: 25.2 Å³ per atom. The energy of formation comes out at -0.25 eV/atom. As for the space-group type: P4mm, No. 99.

Cell lengths 3.5648, 3.5648, 7.9173 Å; angles 90.00, 90.00, 90.00 degrees
Closest atoms and distances in Å follow each position.
Positions (direct):
Sm: 0.5000 0.5000 0.3547  4 Ru 3.02, 4 Cd 3.34
Pr: 0.5000 0.5000 0.7872  4 Ru 3.08, 4 Cd 3.42, 1 Sm 3.42
Ru: 0.0000 0.0000 0.5639  4 Sm 3.02, 4 Pr 3.08
Cd: 0.0000 0.0000 0.0789  4 Sm 3.34, 4 Pr 3.42, 4 Cd 3.56

=====

Entry 6:
A relaxed structure of PrSmCdRu. Source: Alexandria via LeMat-Bulk, functional GGA-PBE.

Calculated values
As for the volume: 24.7 Å³ per atom. The energy of formation comes out at -0.17 eV/atom. As for the space-group type: F-43m, No. 216.

Cell lengths 5.1872, 5.1872, 5.1872 Å; angles 60.00, 60.00, 60.00 degrees
Closest atoms and distances in Å follow each position.
Positions (direct):
Pr: 0.0000 0.0000 0.0000  4 Ru 3.18, 4 Cd 3.18
Ru: 0.7500 0.7500 0.7500  4 Pr 3.18, 4 Sm 3.18
Sm: 0.5000 0.5000 0.5000  4 Cd 3.18, 4 Ru 3.18
Cd: 0.2500 0.2500 0.2500  4 Sm 3.18, 4 Pr 3.18

=====

Entry 7:
A relaxed structure of TbPrCdRu. Source: Alexandria via LeMat-Bulk, functional GGA-PBE.

Calculated values
As for the volume: 24.1 Å³ per atom. The energy of formation comes out at -0.19 eV/atom. As for the space-group type: F-43m, No. 216.

Cell lengths 5.1472, 5.1472, 5.1472 Å; angles 60.00, 60.00, 60.00 degrees
Closest atoms and distances in Å follow each position.
Positions (direct):
Tb: 0.0000 0.0000 0.0000  4 Ru 3.15, 4 Cd 3.15
Ru: 0.7500 0.7500 0.7500  4 Tb 3.15, 4 Pr 3.15
Cd: 0.2500 0.2500 0.2500  4 Pr 3.15, 4 Tb 3.15
Pr: 0.5000 0.5000 0.5000  4 Cd 3.15, 4 Ru 3.15

=====

Entry 8:
A relaxed structure of TbPrCdRu. Source: Alexandria via LeMat-Bulk, functional GGA-PBE.

Calculated values
As for the volume: 24.6 Å³ per atom. The energy of formation comes out at -0.29 eV/atom. As for the space-group type: P4mm, No. 99.

Cell lengths 3.5377, 3.5377, 7.8471 Å; angles 90.00, 90.00, 90.00 degrees
Closest atoms and distances in Å follow each position.
Positions (direct):
Cd: 0.0000 0.0000 0.0855  4 Tb 3.27, 4 Pr 3.43, 4 Cd 3.54
Tb: 0.5000 0.5000 0.3544  4 Ru 2.97, 4 Cd 3.27
Ru: 0.0000 0.0000 0.5579  4 Tb 2.97, 4 Pr 3.08
Pr: 0.5000 0.5000 0.7869  4 Ru 3.08, 1 Tb 3.39, 4 Cd 3.43

=====

Entry 9:
A relaxed structure of PrThCdRu. Source: Alexandria via LeMat-Bulk, functional GGA-PBE.

Calculated values
As for the volume: 25.3 Å³ per atom. The energy of formation comes out at -0.12 eV/atom. As for the space-group type: F-43m, No. 216.

Cell lengths 5.2283, 5.2283, 5.2283 Å; angles 60.00, 60.00, 60.00 degrees
Closest atoms and distances in Å follow each position.
Positions (direct):
Th: 0.2500 0.2500 0.2500  4 Cd 3.20, 4 Ru 3.20
Ru: 0.0000 0.0000 0.0000  4 Pr 3.20, 4 Th 3.20
Cd: 0.5000 0.5000 0.5000  4 Pr 3.20, 4 Th 3.20
Pr: 0.7500 0.7500 0.7500  4 Cd 3.20, 4 Ru 3.20

=====

Entry 10:
A relaxed structure of Pr2Zn5CdRu2. Source: Alexandria via LeMat-Bulk, functional GGA-PBE.

Calculated values
As for the volume: 19.6 Å³ per atom. The energy of formation comes out at -0.12 eV/atom. As for the space-group type: P4/mbm, No. 127.

Cell lengths 4.0709, 9.8064, 9.8064 Å; angles 90.00, 90.00, 90.00 degrees
Closest atoms and distances in Å follow each position.
Positions (direct):
Zn: 0.5000 0.7852 0.9417  2 Ru 2.68, 1 Zn 2.85, 2 Cd 2.98
Zn: 0.5000 0.5000 0.0000  4 Ru 2.60, 4 Zn 2.85
Cd: 0.0000 0.0000 0.0000  8 Zn 2.98
Zn: 0.5000 0.2852 0.5583  2 Ru 2.68, 1 Zn 2.85, 2 Cd 2.98
Pr: 0.0000 0.6822 0.1822  3 Ru 2.78-3.00
Ru: 0.0000 0.8830 0.3830  6 Zn 2.60-2.68, 1 Pr 2.78
Zn: 0.5000 0.0583 0.7852  2 Ru 2.68, 1 Zn 2.85, 2 Cd 2.98
Zn: 0.5000 0.5583 0.7148  2 Ru 2.68, 1 Zn 2.85, 2 Cd 2.98
Pr: 0.0000 0.1822 0.3178  3 Ru 2.78-3.00
Zn: 0.5000 0.2148 0.0583  2 Ru 2.68, 1 Zn 2.85, 2 Cd 2.98
Pr: 0.0000 0.3178 0.8178  3 Ru 2.78-3.00
Zn: 0.5000 0.9417 0.2148  2 Ru 2.68, 1 Zn 2.85, 2 Cd 2.98
Zn: 0.5000 0.0000 0.5000  4 Ru 2.60, 4 Zn 2.85
Ru: 0.0000 0.6170 0.8830  6 Zn 2.60-2.68, 1 Pr 2.78
Cd: 0.0000 0.5000 0.5000  8 Zn 2.98
Zn: 0.5000 0.7148 0.4417  2 Ru 2.68, 1 Zn 2.85, 2 Cd 2.98
Pr: 0.0000 0.8178 0.6822  3 Ru 2.78-3.00
Ru: 0.0000 0.1170 0.6170  6 Zn 2.60-2.68, 1 Pr 2.78
Zn: 0.5000 0.4417 0.2852  2 Ru 2.68, 1 Zn 2.85, 2 Cd 2.98
Ru: 0.0000 0.3830 0.1170  6 Zn 2.60-2.68, 1 Pr 2.78

=====

Entry 11:
A relaxed structure of Pr2CdS4. Source: Alexandria via LeMat-Bulk, functional GGA-PBE.

Calculated values
As for the volume: 23.1 Å³ per atom. As for the space-group type: I-42d, No. 122. The calculation puts the uncorrected formation energy at -1.56 eV/atom.

Cell lengths 7.4985, 7.4985, 7.4985 Å; angles 110.79, 110.79, 106.87 degrees
Closest atoms and distances in Å follow each position.
Positions (direct):
Cd: 0.2500 0.7500 0.5000  4 S 2.72
S: 0.2570 0.3831 0.2652  1 Cd 2.72, 3 Pr 2.82-3.03
S: 0.4930 0.2583 0.6262  1 Cd 2.72, 3 Pr 2.82-3.03
S: 0.6169 0.8821 0.8738  1 Cd 2.72, 3 Pr 2.82-3.03
S: 0.6321 0.8669 0.3738  1 Cd 2.72, 3 Pr 2.82-3.03
Cd: 0.5000 0.5000 0.0000  4 S 2.72
S: 0.0083 0.7430 0.1262  1 Cd 2.72, 3 Pr 2.82-3.03
S: 0.1179 0.9917 0.7348  1 Cd 2.72, 3 Pr 2.82-3.03
Pr: 0.7365 0.6250 0.6115  6 S 2.82-3.03
Pr: 0.0135 0.1250 0.3885  6 S 2.82-3.03
Pr: 0.3750 0.9865 0.1115  6 S 2.82-3.03
S: 0.1331 0.5070 0.7652  1 Cd 2.72, 3 Pr 2.82-3.03
S: 0.7417 0.3679 0.2348  1 Cd 2.72, 3 Pr 2.82-3.03
Pr: 0.8750 0.2635 0.8885  6 S 2.82-3.03

=====

Entry 12:
A relaxed structure of Pr3CdS. Source: Alexandria via LeMat-Bulk, functional GGA-PBE.

Calculated values
As for the volume: 32.4 Å³ per atom. As for the space-group type: Pm-3m, No. 221. The calculation puts the uncorrected formation energy at -0.76 eV/atom.

Cell lengths 5.4537, 5.4537, 5.4537 Å; angles 90.00, 90.00, 90.00 degrees
Closest atoms and distances in Å follow each position.
Positions (direct):
S: 0.0000 0.0000 0.0000  6 Pr 2.73
Cd: 0.5000 0.5000 0.5000  12 Pr 3.86
Pr: 0.5000 0.0000 0.0000  2 S 2.73
Pr: 0.0000 0.0000 0.5000  2 S 2.73
Pr: 0.0000 0.5000 0.0000  2 S 2.73

=====

> The lowest volume belongs to which entry?

Pr2Zn5CdRu2

=====

> The lowest volume belongs to which entry?

Pr2Zn5CdRu2

=====

> Among the records above, which one has the highest volume?

Pr6CdRu

=====

> Look up the volume of the fifth one.

25.2 Å³ per atom